(1)
An optimized crystal structure of YErPd, computed with GGA-PBE.

The structure in POSCAR format:
```
YErPd
1.0
0.000 3.433 3.433
3.433 0.000 3.433
3.433 3.433 0.000
Er Pd Y
1 1 1
Direct
0.250 0.250 0.250 Er
0.000 0.000 0.000 Pd
0.750 0.750 0.750 Y
```

Properties
- Size of the total moment: 0.0 μB/cell
- E above lowest polymorph: 158.1 meV per atom
- ΔE_f: -489 meV/atom



(2)
An optimized crystal structure of BaAgOs2, computed with GGA-PBE.

The structure in POSCAR format:
```
BaAgOs2
1.0
0.000 3.436 3.436
3.436 0.000 3.436
3.436 3.436 0.000
Ag Ba Os
1 1 2
Direct
0.500 0.500 0.500 Ag
0.750 0.750 0.750 Ba
0.000 0.000 0.000 Os
0.250 0.250 0.250 Os
```

Properties
- Size of the total moment: 1.1 μB/cell
- Raw total energy: -5.4517 eV/atom



(3)
An optimized crystal structure of HoPOsO, computed with GGA-PBE.

The structure in POSCAR format:
```
HoPOsO
1.0
-1.565 2.716 0.841
-3.952 -0.230 -6.606
-3.665 -2.822 2.291
Ho O Os P
2 2 2 2
Direct
0.000 0.292 0.476 Ho
0.000 0.708 0.976 Ho
0.500 0.458 0.325 O
0.500 0.542 0.825 O
0.500 0.713 0.480 Os
0.500 0.287 0.980 Os
0.000 0.917 0.472 P
0.000 0.083 0.972 P
```

Properties
- Size of the total moment: 0.0 μB/cell
- E above lowest polymorph: 747.7 meV per atom